Entry 1:
# PmHfGa2 PBE-GGA relaxed
data_PmHfGa2
_symmetry_space_group_name_H-M 'P 1'
_symmetry_Int_Tables_number 1
_cell_length_a 5.1483
_cell_length_b 5.1483
_cell_length_c 3.2283
_cell_angle_alpha 90.00
_cell_angle_beta 90.00
_cell_angle_gamma 90.00
loop_
_symmetry_equiv_pos_as_xyz
'x,y,z'
loop_
_atom_site_label
_atom_site_fract_x
_atom_site_fract_y
_atom_site_fract_z
Pm1 0.0000 0.0000 0.0000
Hf1 0.5000 0.5000 0.0000
Ga1 0.0000 0.5000 0.5000
Ga2 0.5000 0.0000 0.5000
# ΔE_f = -320 meV per atom
# V = 21.4 Å³ per atom
# offset from the most stable computed form = 0.0971 eV per atom


Entry 2:
# Tl2HgP PBE-GGA relaxed
data_Tl2HgP
_symmetry_space_group_name_H-M 'P 1'
_symmetry_Int_Tables_number 1
_cell_length_a 3.2998
_cell_length_b 3.8219
_cell_length_c 8.9170
_cell_angle_alpha 90.00
_cell_angle_beta 90.00
_cell_angle_gamma 90.00
loop_
_symmetry_equiv_pos_as_xyz
'x,y,z'
loop_
_atom_site_label
_atom_site_fract_x
_atom_site_fract_y
_atom_site_fract_z
Tl1 0.0000 0.0000 0.2006
Tl2 0.0000 0.0000 0.7994
Hg1 0.5000 0.5000 0.5000
P1 0.5000 0.5000 0.0000
# ΔE_f = 181 meV per atom
# V = 28.1 Å³ per atom
# offset from the most stable computed form = 0.0640 eV per atom


- Among the records above, which one has the lowest offset from the most stable computed form?
  Tl2HgP


Please write out number 2 again, unchanged.
# Tl2HgP PBE-GGA relaxed
data_Tl2HgP
_symmetry_space_group_name_H-M 'P 1'
_symmetry_Int_Tables_number 1
_cell_length_a 3.2998
_cell_length_b 3.8219
_cell_length_c 8.9170
_cell_angle_alpha 90.00
_cell_angle_beta 90.00
_cell_angle_gamma 90.00
loop_
_symmetry_equiv_pos_as_xyz
'x,y,z'
loop_
_atom_site_label
_atom_site_fract_x
_atom_site_fract_y
_atom_site_fract_z
Tl1 0.0000 0.0000 0.2006
Tl2 0.0000 0.0000 0.7994
Hg1 0.5000 0.5000 0.5000
P1 0.5000 0.5000 0.0000
# ΔE_f = 181 meV per atom
# V = 28.1 Å³ per atom
# offset from the most stable computed form = 0.0640 eV per atom